i) ! CsCuBrF2 | Alexandria | PBE-GGA | optimized geometry; values from VASP
&SYSTEM
  ibrav = 0, nat = 10, ntyp = 4
/
ATOMIC_SPECIES
Br 79.90 Br.upf
F 19.00 F.upf
Cu 63.55 Cu.upf
Cs 132.91 Cs.upf
CELL_PARAMETERS angstrom
-1.4682 -2.8195 -2.4598
6.4017 2.0855 -2.9274
3.7243 -5.5780 4.1707
ATOMIC_POSITIONS crystal
Br 0.5257 0.0514 0.2500
Br 0.4743 0.9486 0.7500
F 0.8706 0.7411 0.4657
F 0.8706 0.7411 0.0343
F 0.1294 0.2589 0.5343
F 0.1294 0.2589 0.9657
Cu 0.0000 0.0000 0.5000
Cu 0.0000 0.0000 0.0000
Cs 0.2689 0.5378 0.2500
Cs 0.7311 0.4622 0.7500
! - D(E_F) (states/eV/f.u.) = 2.39
! - calculated volume (Å³/cell) = 224.2

ii) ! CsCuBrF2 | Alexandria | PBE-GGA | optimized geometry; values from VASP
&SYSTEM
  ibrav = 0, nat = 5, ntyp = 4
/
ATOMIC_SPECIES
F 19.00 F.upf
Br 79.90 Br.upf
Cs 132.91 Cs.upf
Cu 63.55 Cu.upf
CELL_PARAMETERS angstrom
4.6352 0.0000 0.0000
0.0000 4.6352 0.0000
0.0000 0.0000 4.7972
ATOMIC_POSITIONS crystal
F 0.5000 0.0000 0.0000
F 0.0000 0.5000 0.0000
Br 0.0000 0.0000 0.5000
Cs 0.5000 0.5000 0.5000
Cu 0.0000 0.0000 0.0000
! - D(E_F) (states/eV/f.u.) = 2.71
! - calculated volume (Å³/cell) = 103.1

According to the calculations, the structures order from most to least stable as i), ii).